1.
The following is a PBE calculation of a geometry-optimized Hf2UNi structure, from Alexandria via LeMat-Bulk.

Values from the calculation:
M_tot ... 0.0 μB per formula unit
DFT total energy ... -9.316 eV per atom
Calculated formation energy ... -72 meV per atom

a = 3.073 Å, b = 3.073 Å, c = 8.095 Å
α = 90.00°, β = 90.00°, γ = 90.00°
Element x y z (fractional)
1 Hf 0.000 0.000 0.793
2 Hf 0.000 0.000 0.207
3 U 0.500 0.500 0.500
4 Ni 0.500 0.500 0.000



2.
The following is a PBE calculation of a geometry-optimized HfUNi structure, from Alexandria via LeMat-Bulk.

Values from the calculation:
M_tot ... 0.0 μB per formula unit
DFT total energy ... -8.930 eV per atom
Calculated formation energy ... 78 meV per atom

a = 4.645 Å, b = 5.555 Å, c = 5.712 Å
α = 122.69°, β = 90.00°, γ = 114.72°
Element x y z (fractional)
1 Ni 0.649 0.298 0.871
2 Ni 0.272 0.544 0.820
3 U 0.981 0.962 0.344
4 U 0.600 0.199 0.308
5 Hf 0.945 0.890 0.818
6 Hf 0.310 0.620 0.346



3.
The following is a PBE calculation of a geometry-optimized Hf2VNi structure, from Alexandria via LeMat-Bulk.

Values from the calculation:
Offset from the most stable computed form ... 1.93 eV/f.u.
M_tot ... 2.0 μB per formula unit
DFT total energy ... -8.387 eV per atom
Calculated formation energy ... 315 meV per atom

a = 7.170 Å, b = 7.170 Å, c = 5.814 Å
α = 51.93°, β = 51.93°, γ = 90.00°
Site moments in Bohr magnetons follow the coordinates.
Element x y z (fractional)
1 Ni 0.000 0.000 0.000  0.15
2 Ni 0.750 0.250 0.500  0.15
3 Hf 0.659 0.125 0.250  -0.05
4 Hf 0.091 0.625 0.250  -0.05
5 Hf 0.375 0.341 0.750  -0.05
6 Hf 0.875 0.909 0.750  -0.05
7 V 0.500 0.500 0.000  1.74
8 V 0.250 0.750 0.500  1.74



4.
The following is a PBE calculation of a geometry-optimized Hf2V3Ni structure, from Alexandria via LeMat-Bulk.

Values from the calculation:
M_tot ... 0.0 μB per formula unit
DFT total energy ... -9.017 eV per atom
Calculated formation energy ... -176 meV per atom

a = 5.040 Å, b = 5.040 Å, c = 5.187 Å
α = 89.98°, β = 119.10°, γ = 119.98°
Element x y z (fractional)
1 Hf 0.748 0.374 0.121
2 Hf 0.252 0.626 0.879
3 V 0.500 0.500 0.500
4 V 0.000 0.000 0.500
5 V 0.500 0.000 0.500
6 Ni 0.000 0.000 0.000



5.
The following is a PBE calculation of a geometry-optimized Hf3VNi structure, from Alexandria via LeMat-Bulk.

Values from the calculation:
Offset from the most stable computed form ... 0.00 eV/f.u.
M_tot ... 3.3 μB per formula unit
DFT total energy ... -8.429 eV per atom
Calculated formation energy ... 523 meV per atom

a = 4.788 Å, b = 4.788 Å, c = 4.788 Å
α = 90.00°, β = 90.00°, γ = 90.00°
Site moments in Bohr magnetons follow the coordinates.
Element x y z (fractional)
1 Ni 0.000 0.000 0.000  0.07
2 Hf 0.000 0.500 0.000  0.00
3 Hf 0.000 0.000 0.500  0.00
4 Hf 0.500 0.000 0.000  0.00
5 V 0.500 0.500 0.500  2.50



6.
The following is a PBE calculation of a geometry-optimized Hf3VNi12 structure, from Alexandria via LeMat-Bulk.

Values from the calculation:
M_tot ... 1.4 μB per formula unit
DFT total energy ... -7.185 eV per atom
Calculated formation energy ... -412 meV per atom

a = 3.696 Å, b = 3.696 Å, c = 14.715 Å
α = 90.00°, β = 90.00°, γ = 90.00°
Site moments in Bohr magnetons follow the coordinates.
Element x y z (fractional)
1 Hf 0.000 0.000 0.244  0.00
2 Hf 0.000 0.000 0.500  0.00
3 Hf 0.000 0.000 0.756  0.00
4 V 0.000 0.000 0.000  1.07
5 Ni 0.500 0.500 0.000  0.00
6 Ni 0.500 0.500 0.245  0.01
7 Ni 0.500 0.500 0.500  0.01
8 Ni 0.500 0.500 0.755  0.01
9 Ni 0.500 0.000 0.116  0.05
10 Ni 0.500 0.000 0.372  0.00
11 Ni 0.500 0.000 0.628  0.00
12 Ni 0.500 0.000 0.884  0.05
13 Ni 0.000 0.500 0.116  0.05
14 Ni 0.000 0.500 0.372  0.00
15 Ni 0.000 0.500 0.628  0.00
16 Ni 0.000 0.500 0.884  0.05



7.
The following is a PBE calculation of a geometry-optimized Hf2VNi2 structure, from Alexandria via LeMat-Bulk.

Values from the calculation:
M_tot ... 2.5 μB per formula unit
DFT total energy ... -8.346 eV per atom
Calculated formation energy ... -229 meV per atom

a = 7.038 Å, b = 7.038 Å, c = 3.259 Å
α = 90.00°, β = 90.00°, γ = 90.00°
Site moments in Bohr magnetons follow the coordinates.
Element x y z (fractional)
1 Ni 0.376 0.876 0.000  0.08
2 Ni 0.876 0.624 0.000  0.08
3 Ni 0.624 0.124 0.000  0.08
4 Ni 0.124 0.376 0.000  0.08
5 Hf 0.174 0.674 0.500  0.04
6 Hf 0.674 0.826 0.500  0.04
7 Hf 0.826 0.326 0.500  0.04
8 Hf 0.326 0.174 0.500  0.04
9 V 0.000 0.000 0.000  1.82
10 V 0.500 0.500 0.000  1.82



8.
The following is a PBE calculation of a geometry-optimized Hf2VNi structure, from Alexandria via LeMat-Bulk.

Values from the calculation:
Offset from the most stable computed form ... 0.00 eV/f.u.
M_tot ... 0.4 μB per formula unit
DFT total energy ... -8.870 eV per atom
Calculated formation energy ... -168 meV per atom

a = 3.195 Å, b = 3.195 Å, c = 6.597 Å
α = 90.00°, β = 90.00°, γ = 90.00°
Site moments in Bohr magnetons follow the coordinates.
Element x y z (fractional)
1 Ni 0.500 0.500 0.000  -0.02
2 Hf 0.000 0.000 0.755  0.00
3 Hf 0.000 0.000 0.245  0.00
4 V 0.500 0.500 0.500  0.40